The following is a DFT calculation (GGA-PBE) of Th6GeP3S2 after structural relaxation.

Computed properties:
E_form (uncorrected) = -1770 kJ/mol of formula units
Density of states at the Fermi level = 7.37 states/eV/cell

CIF file:
```
data_Th6GeP3S2
_symmetry_space_group_name_H-M 'P 1'
_symmetry_Int_Tables_number 1
_cell_length_a 4.157
_cell_length_b 8.256
_cell_length_c 9.265
_cell_angle_alpha 103.17
_cell_angle_beta 102.97
_cell_angle_gamma 90.00
loop_
_symmetry_equiv_pos_as_xyz
'x,y,z'
loop_
_atom_site_label
_atom_site_fract_x
_atom_site_fract_y
_atom_site_fract_z
_atom_site_occupancy
P1 0.166 0.831 0.331 1
Th1 0.669 0.080 0.338 1
P2 0.834 0.169 0.669 1
Th2 0.000 0.744 0.001 1
Ge1 0.500 0.000 0.000 1
S1 0.168 0.333 0.335 1
S2 0.832 0.667 0.665 1
Th3 0.000 0.256 0.999 1
Th4 0.331 0.920 0.662 1
Th5 0.335 0.415 0.669 1
Th6 0.665 0.585 0.331 1
P3 0.500 0.500 0.000 1
```

The following is a DFT calculation (GGA-PBE) of Nd6Te4As after structural relaxation.

Computed properties:
E_form (uncorrected) = -1277 kJ/mol of formula units
Density of states at the Fermi level = 18.55 states/eV/cell

CIF file:
```
data_Nd6Te4As
_symmetry_space_group_name_H-M 'P 1'
_symmetry_Int_Tables_number 1
_cell_length_a 8.505
_cell_length_b 8.505
_cell_length_c 9.094
_cell_angle_alpha 90.00
_cell_angle_beta 90.00
_cell_angle_gamma 90.00
loop_
_symmetry_equiv_pos_as_xyz
'x,y,z'
loop_
_atom_site_label
_atom_site_fract_x
_atom_site_fract_y
_atom_site_fract_z
_atom_site_occupancy
Nd1 0.500 0.500 0.690 1
Te1 0.354 0.146 0.750 1
Te2 0.646 0.854 0.750 1
Nd2 0.861 0.676 0.500 1
Nd3 0.676 0.139 0.500 1
Nd4 0.324 0.861 0.500 1
Te3 0.646 0.854 0.250 1
Te4 0.854 0.354 0.250 1
Nd5 0.824 0.639 0.000 1
Te5 0.854 0.354 0.750 1
As1 0.500 0.500 0.000 1
Nd6 0.639 0.176 0.000 1
Nd7 0.139 0.324 0.500 1
Te6 0.146 0.646 0.250 1
Nd8 0.000 0.000 0.190 1
Nd9 0.176 0.361 0.000 1
Nd10 0.500 0.500 0.310 1
Nd11 0.000 0.000 0.810 1
As2 0.000 0.000 0.500 1
Te7 0.354 0.146 0.250 1
Nd12 0.361 0.824 0.000 1
Te8 0.146 0.646 0.750 1
```

The following is a DFT calculation (GGA-PBE) of PrThVN3 after structural relaxation.

Computed properties:
E_form (uncorrected) = -697 kJ/mol of formula units
Density of states at the Fermi level = 6.56 states/eV/cell

CIF file:
```
data_PrThVN3
_symmetry_space_group_name_H-M 'P 1'
_symmetry_Int_Tables_number 1
_cell_length_a 3.569
_cell_length_b 7.539
_cell_length_c 7.622
_cell_angle_alpha 95.78
_cell_angle_beta 90.00
_cell_angle_gamma 90.00
loop_
_symmetry_equiv_pos_as_xyz
'x,y,z'
loop_
_atom_site_label
_atom_site_fract_x
_atom_site_fract_y
_atom_site_fract_z
_atom_site_occupancy
N1 0.750 0.403 0.130 1
N2 0.250 0.597 0.870 1
Th1 0.250 0.631 0.180 1
V1 0.250 0.089 0.590 1
Pr1 0.750 0.843 0.837 1
Th2 0.750 0.369 0.820 1
N3 0.750 0.877 0.160 1
Pr2 0.250 0.157 0.163 1
V2 0.750 0.911 0.410 1
N4 0.750 0.156 0.516 1
N5 0.250 0.844 0.484 1
N6 0.250 0.123 0.840 1
```

The following is a DFT calculation (GGA-PBE) of Ac2TeNCl after structural relaxation.

Computed properties:
E_form (uncorrected) = -834 kJ/mol of formula units

CIF file:
```
data_Ac2TeNCl
_symmetry_space_group_name_H-M 'P 1'
_symmetry_Int_Tables_number 1
_cell_length_a 4.367
_cell_length_b 8.908
_cell_length_c 8.945
_cell_angle_alpha 79.20
_cell_angle_beta 75.87
_cell_angle_gamma 75.81
loop_
_symmetry_equiv_pos_as_xyz
'x,y,z'
loop_
_atom_site_label
_atom_site_fract_x
_atom_site_fract_y
_atom_site_fract_z
_atom_site_occupancy
Te1 0.202 0.231 0.365 1
Cl1 0.640 0.607 0.113 1
Te2 0.798 0.769 0.635 1
Ac1 0.136 0.801 0.928 1
Cl2 0.360 0.393 0.887 1
Ac2 0.864 0.199 0.072 1
N1 0.953 0.918 0.176 1
Ac3 0.588 0.151 0.673 1
Ac4 0.412 0.849 0.327 1
N2 0.047 0.082 0.824 1
```

The following is a DFT calculation (GGA-PBE) of CsZn3Mo after structural relaxation.

Computed properties:
ΔH_f (0 K) = 8.87 eV per formula unit
E above lowest polymorph = 1136 meV/atom
Density of states at the Fermi level = 2.57 states/eV/cell

CIF file:
```
data_CsZn3Mo
_symmetry_space_group_name_H-M 'P 1'
_symmetry_Int_Tables_number 1
_cell_length_a 6.610
_cell_length_b 6.610
_cell_length_c 6.610
_cell_angle_alpha 90.00
_cell_angle_beta 90.00
_cell_angle_gamma 90.00
loop_
_symmetry_equiv_pos_as_xyz
'x,y,z'
loop_
_atom_site_label
_atom_site_fract_x
_atom_site_fract_y
_atom_site_fract_z
_atom_site_occupancy
Zn1 0.500 0.000 0.000 1
Zn2 0.000 0.500 0.000 1
Cs1 0.000 0.000 0.000 1
Zn3 0.000 0.000 0.500 1
Mo1 0.500 0.500 0.500 1
```

The following is a DFT calculation (GGA-PBE) of Ce2MgTc after structural relaxation.

Computed properties:
ΔH_f (0 K) = -0.15 eV per formula unit
Density of states at the Fermi level = 8.42 states/eV/cell

CIF file:
```
data_Ce2MgTc
_symmetry_space_group_name_H-M 'P 1'
_symmetry_Int_Tables_number 1
_cell_length_a 3.327
_cell_length_b 3.327
_cell_length_c 8.836
_cell_angle_alpha 90.00
_cell_angle_beta 90.00
_cell_angle_gamma 90.00
loop_
_symmetry_equiv_pos_as_xyz
'x,y,z'
loop_
_atom_site_label
_atom_site_fract_x
_atom_site_fract_y
_atom_site_fract_z
_atom_site_occupancy
Tc1 0.500 0.500 0.000 1
Mg1 0.500 0.500 0.500 1
Ce1 0.000 0.000 0.199 1
Ce2 0.000 0.000 0.801 1
```

The following is a DFT calculation (GGA-PBE) of HfSc2Ni9 after structural relaxation.

Computed properties:
ΔH_f (0 K) = -5.25 eV per formula unit
Density of states at the Fermi level = 19.87 states/eV/cell

CIF file:
```
data_HfSc2Ni9
_symmetry_space_group_name_H-M 'P 1'
_symmetry_Int_Tables_number 1
_cell_length_a 4.799
_cell_length_b 4.799
_cell_length_c 15.852
_cell_angle_alpha 90.00
_cell_angle_beta 90.00
_cell_angle_gamma 120.00
loop_
_symmetry_equiv_pos_as_xyz
'x,y,z'
loop_
_atom_site_label
_atom_site_fract_x
_atom_site_fract_y
_atom_site_fract_z
_atom_site_occupancy
Ni1 0.000 0.000 0.000 1
Sc1 0.667 0.333 0.458 1
Ni2 0.665 0.832 0.125 1
Ni3 0.832 0.665 0.875 1
Ni4 0.000 0.000 0.500 1
Ni5 0.168 0.832 0.125 1
Ni6 0.832 0.168 0.875 1
Ni7 0.168 0.832 0.375 1
Ni8 0.335 0.168 0.875 1
Ni9 0.000 0.000 0.750 1
Sc2 0.333 0.667 0.542 1
Hf1 0.333 0.667 0.750 1
Sc3 0.667 0.333 0.042 1
Ni10 0.333 0.667 0.250 1
Ni11 0.832 0.665 0.625 1
Ni12 0.667 0.333 0.750 1
Ni13 0.335 0.168 0.625 1
Sc4 0.333 0.667 0.958 1
Ni14 0.832 0.168 0.625 1
Ni15 0.168 0.335 0.375 1
Ni16 0.168 0.335 0.125 1
Ni17 0.665 0.832 0.375 1
Ni18 0.000 0.000 0.250 1
Hf2 0.667 0.333 0.250 1
```

The following is a DFT calculation (GGA-PBE) of Ca4RePb after structural relaxation.

Computed properties:
ΔH_f (0 K) = 5.61 eV per formula unit
Density of states at the Fermi level = 9.22 states/eV/cell

CIF file:
```
data_Ca4RePb
_symmetry_space_group_name_H-M 'P 1'
_symmetry_Int_Tables_number 1
_cell_length_a 6.179
_cell_length_b 6.179
_cell_length_c 6.179
_cell_angle_alpha 60.00
_cell_angle_beta 60.00
_cell_angle_gamma 60.00
loop_
_symmetry_equiv_pos_as_xyz
'x,y,z'
loop_
_atom_site_label
_atom_site_fract_x
_atom_site_fract_y
_atom_site_fract_z
_atom_site_occupancy
Ca1 0.374 0.879 0.374 1
Ca2 0.374 0.374 0.374 1
Ca3 0.879 0.374 0.374 1
Pb1 0.750 0.750 0.750 1
Re1 0.000 0.000 0.000 1
Ca4 0.374 0.374 0.879 1
```

Electronic total energy / eV per atom: -7.664; -5.369; -8.919; -6.036; -1.327; -5.996; -6.658; -3.092